(1)
# SmDy6Te8 (PBE-GGA, relaxed)
data_SmDy6Te8
_symmetry_space_group_name_H-M 'F m -3 m'
_symmetry_Int_Tables_number 225
_symmetry_space_group_name_Hall '-F 4 2 3'
_cell_length_a 12.278
_cell_length_b 12.278
_cell_length_c 12.278
_cell_angle_alpha 90.00
_cell_angle_beta 90.00
_cell_angle_gamma 90.00
loop_
_atom_site_label
_atom_site_fract_x
_atom_site_fract_y
_atom_site_fract_z
Sm1 0.000 0.000 0.000
Dy1 0.000 0.250 0.250
Te1 0.000 0.000 0.259
Te2 0.250 0.250 0.250
# Formation energy (no corrections) (eV per formula unit): -20.55

(2)
# CeYTlAu (PBE-GGA, relaxed)
data_CeYTlAu
_symmetry_space_group_name_H-M 'F -4 3 m'
_symmetry_Int_Tables_number 216
_symmetry_space_group_name_Hall 'F -4 2 3'
_cell_length_a 7.532
_cell_length_b 7.532
_cell_length_c 7.532
_cell_angle_alpha 90.00
_cell_angle_beta 90.00
_cell_angle_gamma 90.00
loop_
_atom_site_label
_atom_site_fract_x
_atom_site_fract_y
_atom_site_fract_z
Ce1 0.000 0.000 0.000
Y1 0.000 0.000 0.500
Tl1 0.250 0.250 0.250
Au1 0.250 0.250 0.750
# Total energy (eV/cell): -79.45

Number 1: density of states at the Fermi level 0.446 states/eV per atom. Number 2: density of states at the Fermi level 2.673 states/eV per atom.